## TbPr3Co2 (PBE)

Data for TbPr3Co2 after structural relaxation.

Properties
Energy relative to the elements   -0.060 eV per atom

The structure in POSCAR format:
```
TbPr3Co2
1.0
3.7423 0.0000 0.7542
1.5785 8.4165 1.8291
-0.1122 -0.0731 10.2181
Tb Pr Co
2 6 4
direct
0.8364 0.5708 0.7565 Tb
0.1636 0.4292 0.2435 Tb
0.1593 0.9318 0.7496 Pr
0.8407 0.0682 0.2504 Pr
0.4162 0.2290 0.9386 Pr
0.5838 0.7710 0.0614 Pr
0.5831 0.2822 0.5517 Pr
0.4169 0.7178 0.4483 Pr
0.2328 0.5793 0.9551 Co
0.7672 0.4207 0.0449 Co
0.7650 0.9219 0.5482 Co
0.2350 0.0781 0.4518 Co
```

## TbPr2Co (PBE)

Data for TbPr2Co after structural relaxation.

Properties
Energy relative to the elements   0.097 eV per atom

The structure in POSCAR format:
```
TbPr2Co
1.0
3.8626 0.0000 0.0000
1.9313 3.3451 0.0000
1.9313 1.1150 9.2803
Tb Pr Co
1 2 1
direct
0.5004 0.5004 0.4989 Tb
0.0585 0.0585 0.8246 Pr
0.2749 0.2749 0.1754 Pr
0.6663 0.6663 0.0011 Co
```

## Tb2PrCo2 (PBE)

Data for Tb2PrCo2 after structural relaxation.

Properties
Energy relative to the elements   -0.027 eV per atom

The structure in POSCAR format:
```
Tb2PrCo2
1.0
3.7814 0.0000 0.0000
0.0000 5.5702 0.0830
-1.8907 -1.5154 5.5787
Tb Pr Co
2 1 2
direct
0.3504 0.4168 0.7008 Tb
0.6496 0.5832 0.2992 Tb
0.0000 0.0000 0.0000 Pr
0.7227 0.1045 0.4453 Co
0.2773 0.8955 0.5547 Co
```

## Tb6PrCo2 (PBE)

Data for Tb6PrCo2 after structural relaxation.

Properties
Energy relative to the elements   -0.036 eV per atom

The structure in POSCAR format:
```
Tb6PrCo2
1.0
8.1902 0.4276 -2.5379
-4.6311 6.8324 -2.3608
0.1174 -0.4276 8.5736
Tb Pr Co
12 2 4
direct
0.4899 0.2972 0.1927 Tb
0.5101 0.7028 0.8073 Tb
0.8954 0.7028 0.1927 Tb
0.1046 0.2972 0.8073 Tb
0.2285 0.7795 0.0080 Tb
0.7715 0.2205 0.9920 Tb
0.7715 0.7795 0.5509 Tb
0.2285 0.2205 0.4491 Tb
0.3032 0.9973 0.6942 Tb
0.6968 0.0027 0.3058 Tb
0.6968 0.3910 0.6942 Tb
0.3032 0.6090 0.3058 Tb
0.0000 0.5000 0.5000 Pr
0.0000 0.0000 0.0000 Pr
0.5000 0.3896 0.8896 Co
0.5000 0.6104 0.1104 Co
0.3857 0.0000 0.3857 Co
0.6143 0.0000 0.6143 Co
```

The calculation returns the following N(E_F) values, one per record and in order: 16.32; 5.75; 5.14; 20.58 states/eV per cell.